Below is Zn3Ru after structural relaxation, with properties calculated at the PBEsol level.

Summary:
E: -0.2811 Ry per atom
space-group type: Pmmn, No. 59
crystal system: orthorhombic
E_form: -0.095 eV per atom

Lattice parameters (Å, degrees): 4.209 4.865 5.170 90.00 90.00 90.00
Positions (direct):
Ru: 0.000 0.646 0.000
Ru: 0.500 0.354 0.500
Zn: 0.500 0.339 0.000
Zn: 0.000 0.155 0.751
Zn: 0.500 0.845 0.749
Zn: 0.000 0.661 0.500
Zn: 0.000 0.155 0.249
Zn: 0.500 0.845 0.251